No. 1
The following is a DFT calculation (PBE-GGA) of a relaxed structure of TlCdBiSe3.

Cell lengths 8.988, 4.341, 9.958 Å; angles 90.00, 103.25, 90.00 degrees
Fractional coordinates of all 12 atoms:
Tl1 0.198 0.250 0.228
Tl2 0.802 0.750 0.772
Cd1 0.088 0.250 0.608
Cd2 0.912 0.750 0.392
Bi1 0.332 0.750 0.870
Bi2 0.668 0.250 0.130
Se1 0.111 0.250 0.881
Se2 0.222 0.750 0.526
Se3 0.441 0.750 0.156
Se4 0.559 0.250 0.844
Se5 0.778 0.250 0.474
Se6 0.889 0.750 0.119

Output
The density comes out at 6.7 g cm⁻³. For the uncorrected formation energy, the calculation gives -0.46 eV per atom. Its crystal system is monoclinic. The value obtained for the size of the total moment is 0.000 μB/f.u.

No. 2
The following is a DFT calculation (PBE-GGA) of a relaxed structure of Ce6TlSi2.

Cell lengths 8.553, 8.553, 8.553 Å; angles 113.05, 111.00, 104.48 degrees
Fractional coordinates of all 18 atoms:
Ce1 0.029 0.249 0.780
Ce2 0.186 0.472 0.286
Ce3 0.186 0.901 0.714
Ce4 0.299 0.220 0.519
Ce5 0.299 0.780 0.079
Ce6 0.469 0.249 0.220
Ce7 0.531 0.751 0.780
Ce8 0.701 0.220 0.921
Ce9 0.701 0.780 0.481
Ce10 0.814 0.099 0.286
Ce11 0.814 0.528 0.714
Ce12 0.971 0.751 0.220
Tl1 0.000 0.000 0.000
Tl2 0.500 0.500 0.000
Si1 0.126 0.500 0.626
Si2 0.387 0.887 0.500
Si3 0.613 0.113 0.500
Si4 0.874 0.500 0.374

Output
The density comes out at 7.6 g cm⁻³. For the uncorrected formation energy, the calculation gives -0.32 eV per atom. Its crystal system is orthorhombic. The value obtained for the size of the total moment is 5.248 μB/f.u.

No. 3
The following is a DFT calculation (PBE-GGA) of a relaxed structure of La2Hf2F.

Cell lengths 6.651, 6.651, 5.927 Å; angles 90.00, 90.00, 90.00 degrees
Fractional coordinates of all 10 atoms:
La1 0.169 0.331 0.000
La2 0.331 0.831 0.000
La3 0.669 0.169 0.000
La4 0.831 0.669 0.000
Hf1 0.157 0.657 0.500
Hf2 0.343 0.157 0.500
Hf3 0.657 0.843 0.500
Hf4 0.843 0.343 0.500
F1 0.000 0.000 0.000
F2 0.500 0.500 0.000

Output
The density comes out at 8.3 g cm⁻³. For the uncorrected formation energy, the calculation gives -0.45 eV per atom. Its crystal system is tetragonal. The energy above the most stable polymorph in this dataset comes out at 0 meV/atom. The value obtained for the size of the total moment is 0.000 μB/f.u.

No. 4
The following is a DFT calculation (PBE-GGA) of a relaxed structure of Tb4Zn2In5.

Cell lengths 7.746, 3.605, 9.836 Å; angles 90.00, 94.26, 90.00 degrees
Fractional coordinates of all 11 atoms:
Tb1 0.178 0.000 0.373
Tb2 0.254 0.000 0.938
Tb3 0.746 0.000 0.062
Tb4 0.822 0.000 0.627
Zn1 0.062 0.500 0.128
Zn2 0.938 0.500 0.872
In1 0.176 0.500 0.660
In2 0.441 0.500 0.188
In3 0.500 0.500 0.500
In4 0.559 0.500 0.812
In5 0.824 0.500 0.340

Output
The density comes out at 8.1 g cm⁻³. The value obtained for the energy of formation from the pure elements is -0.4012 eV/atom. Its crystal system is monoclinic. The value obtained for the size of the total moment is 0.000 μB/f.u.

No. 5
The following is a DFT calculation (PBE-GGA) of a relaxed structure of PrMg6Sn6.

Cell lengths 6.282, 6.282, 9.429 Å; angles 90.00, 90.00, 120.00 degrees
Fractional coordinates of all 13 atoms:
Pr1 0.000 0.000 0.000
Mg1 0.000 0.500 0.245
Mg2 0.000 0.500 0.755
Mg3 0.500 0.000 0.245
Mg4 0.500 0.000 0.755
Mg5 0.500 0.500 0.245
Mg6 0.500 0.500 0.755
Sn1 0.000 0.000 0.343
Sn2 0.000 0.000 0.657
Sn3 0.333 0.667 0.000
Sn4 0.333 0.667 0.500
Sn5 0.667 0.333 0.000
Sn6 0.667 0.333 0.500

Output
The density comes out at 5.1 g cm⁻³. The value obtained for the energy of formation from the pure elements is -0.2010 eV/atom. Its crystal system is hexagonal. The value obtained for the size of the total moment is 0.000 μB/f.u.

No. 6
The following is a DFT calculation (PBE-GGA) of a relaxed structure of Mg2VSi.

Cell lengths 5.990, 5.990, 5.990 Å; angles 100.62, 100.62, 129.14 degrees
Fractional coordinates of all 8 atoms:
Mg1 0.091 0.625 0.966
Mg2 0.375 0.341 0.466
Mg3 0.659 0.125 0.034
Mg4 0.875 0.909 0.534
V1 0.250 0.750 0.500
V2 0.500 0.500 0.000
Si1 0.000 0.000 0.000
Si2 0.750 0.250 0.500

Output
The density comes out at 2.8 g cm⁻³. For the uncorrected formation energy, the calculation gives 0.50 eV per atom. Its crystal system is tetragonal. The value obtained for the size of the total moment is 1.107 μB/f.u.

No. 7
The following is a DFT calculation (PBE-GGA) of a relaxed structure of Na3TlF7.

Cell lengths 5.748, 5.748, 6.249 Å; angles 117.38, 117.38, 88.40 degrees
Fractional coordinates of all 11 atoms:
Na1 0.000 0.000 0.000
Na2 0.276 0.726 0.562
Na3 0.726 0.276 0.562
Tl1 0.564 0.564 0.125
F1 0.155 0.569 0.806
F2 0.351 0.889 0.300
F3 0.367 0.367 0.241
F4 0.569 0.155 0.806
F5 0.677 0.677 0.891
F6 0.889 0.351 0.300
F7 0.896 0.896 0.525

Output
The density comes out at 4.3 g cm⁻³. For the uncorrected formation energy, the calculation gives -2.17 eV per atom. Its crystal system is monoclinic. The value obtained for the size of the total moment is 1.002 μB/f.u.

No. 8
The following is a DFT calculation (PBE-GGA) of a relaxed structure of YCd3Hg2.

Cell lengths 8.984, 8.984, 7.609 Å; angles 110.48, 110.48, 29.89 degrees
Fractional coordinates of all 12 atoms:
Y1 0.116 0.116 0.181
Y2 0.884 0.884 0.819
Cd1 0.074 0.074 0.691
Cd2 0.303 0.303 0.074
Cd3 0.374 0.374 0.495
Cd4 0.626 0.626 0.505
Cd5 0.697 0.697 0.926
Cd6 0.926 0.926 0.309
Hg1 0.243 0.243 0.661
Hg2 0.482 0.482 0.168
Hg3 0.518 0.518 0.832
Hg4 0.757 0.757 0.339

Output
The density comes out at 9.6 g cm⁻³. The value obtained for the energy of formation from the pure elements is -0.1967 eV/atom. Its crystal system is monoclinic. The energy above the most stable polymorph in this dataset comes out at 0 meV/atom. The value obtained for the size of the total moment is 0.000 μB/f.u.

No. 9
The following is a DFT calculation (PBE-GGA) of a relaxed structure of Tc2Ir9Pt.

Cell lengths 3.873, 3.873, 11.667 Å; angles 90.00, 90.00, 90.00 degrees
Fractional coordinates of all 12 atoms:
Tc1 0.000 0.000 0.171
Tc2 0.000 0.000 0.829
Ir1 0.000 0.500 0.000
Ir2 0.000 0.500 0.327
Ir3 0.000 0.500 0.673
Ir4 0.500 0.000 0.000
Ir5 0.500 0.000 0.327
Ir6 0.500 0.000 0.673
Ir7 0.500 0.500 0.164
Ir8 0.500 0.500 0.500
Ir9 0.500 0.500 0.836
Pt1 0.000 0.000 0.500

Output
The density comes out at 20.1 g cm⁻³. The value obtained for the energy of formation from the pure elements is -0.1058 eV/atom. Its crystal system is tetragonal. The value obtained for the size of the total moment is 0.001 μB/f.u.

No. 10
The following is a DFT calculation (PBE-GGA) of a relaxed structure of CaIr2Br.

Cell lengths 4.729, 4.729, 4.729 Å; angles 60.00, 60.00, 60.00 degrees
Fractional coordinates of all 4 atoms:
Ca1 0.000 0.000 0.000
Ir1 0.250 0.250 0.250
Ir2 0.750 0.750 0.750
Br1 0.500 0.500 0.500

Output
The density comes out at 11.2 g cm⁻³. For the uncorrected formation energy, the calculation gives 0.82 eV per atom. Its crystal system is cubic. The energy above the most stable polymorph in this dataset comes out at 1079 meV/atom. The value obtained for the size of the total moment is 0.932 μB/f.u.

No. 11
The following is a DFT calculation (PBE-GGA) of a relaxed structure of RbZnSnHg2.

Cell lengths 5.575, 5.575, 5.241 Å; angles 90.00, 90.00, 90.00 degrees
Fractional coordinates of all 5 atoms:
Rb1 0.000 0.000 0.000
Zn1 0.500 0.500 0.500
Sn1 0.500 0.500 0.000
Hg1 0.000 0.500 0.500
Hg2 0.500 0.000 0.500

Output
The density comes out at 6.8 g cm⁻³. The value obtained for the energy of formation from the pure elements is 0.0085 eV/atom. Its crystal system is tetragonal. The energy above the most stable polymorph in this dataset comes out at 0 meV/atom. The value obtained for the size of the total moment is 0.000 μB/f.u.

No. 12
The following is a DFT calculation (PBE-GGA) of a relaxed structure of SmAlGe.

Cell lengths 5.120, 5.120, 5.120 Å; angles 131.85, 131.85, 70.47 degrees
Fractional coordinates of all 3 atoms:
Sm1 0.000 0.000 0.000
Al1 0.354 0.354 0.000
Ge1 0.654 0.654 0.000

Output
The density comes out at 5.7 g cm⁻³. The value obtained for the energy of formation from the pure elements is -0.1851 eV/atom. Its crystal system is tetragonal. The value obtained for the size of the total moment is 0.000 μB/f.u.

No. 13
The following is a DFT calculation (PBE-GGA) of a relaxed structure of TlCuSe.

Cell lengths 4.154, 4.154, 4.930 Å; angles 90.00, 90.00, 120.00 degrees
Fractional coordinates of all 3 atoms:
Tl1 0.000 0.000 0.000
Cu1 0.667 0.333 0.500
Se1 0.333 0.667 0.500

Output
The density comes out at 7.8 g cm⁻³. For the uncorrected formation energy, the calculation gives -0.26 eV per atom. Its crystal system is hexagonal. The value obtained for the size of the total moment is 0.000 μB/f.u.

No. 14
The following is a DFT calculation (PBE-GGA) of a relaxed structure of SnHSe.

Cell lengths 7.414, 7.414, 4.360 Å; angles 95.17, 95.17, 32.72 degrees
Fractional coordinates of all 6 atoms:
Sn1 0.140 0.140 0.073
Sn2 0.860 0.860 0.927
H1 0.000 0.000 0.000
H2 0.500 0.500 0.500
Se1 0.376 0.376 0.496
Se2 0.624 0.624 0.504

Output
The density comes out at 5.1 g cm⁻³. For the total energy, the calculation gives -22.42 eV/cell. Its crystal system is monoclinic. The value obtained for the size of the total moment is 0.000 μB/f.u.

No. 15
The following is a DFT calculation (PBE-GGA) of a relaxed structure of Zr2TaTe.

Cell lengths 10.637, 10.637, 10.637 Å; angles 156.97, 156.97, 32.80 degrees
Fractional coordinates of all 8 atoms:
Zr1 0.123 0.625 0.998
Zr2 0.375 0.373 0.498
Zr3 0.627 0.125 0.002
Zr4 0.875 0.877 0.502
Ta1 0.250 0.750 0.500
Ta2 0.500 0.500 0.000
Te1 0.000 0.000 0.000
Te2 0.750 0.250 0.500

Output
The density comes out at 8.9 g cm⁻³. For the uncorrected formation energy, the calculation gives 0.34 eV per atom. Its crystal system is tetragonal. The value obtained for the size of the total moment is 0.000 μB/f.u.

No. 16
The following is a DFT calculation (PBE-GGA) of a relaxed structure of Sc4CoRh2.

Cell lengths 7.797, 7.797, 7.797 Å; angles 33.53, 33.53, 33.53 degrees
Fractional coordinates of all 7 atoms:
Sc1 0.124 0.124 0.124
Sc2 0.375 0.375 0.375
Sc3 0.625 0.625 0.625
Sc4 0.876 0.876 0.876
Co1 0.500 0.500 0.500
Rh1 0.248 0.248 0.248
Rh2 0.752 0.752 0.752

Output
The density comes out at 5.7 g cm⁻³. The value obtained for the energy of formation from the pure elements is -0.6568 eV/atom. Its crystal system is trigonal. The value obtained for the size of the total moment is 0.000 μB/f.u.

No. 17
The following is a DFT calculation (PBE-GGA) of a relaxed structure of Na2WAu.

Cell lengths 6.574, 6.574, 6.574 Å; angles 100.07, 100.07, 130.57 degrees
Fractional coordinates of all 8 atoms:
Na1 0.089 0.625 0.964
Na2 0.375 0.339 0.464
Na3 0.661 0.125 0.036
Na4 0.875 0.911 0.536
W1 0.250 0.750 0.500
W2 0.500 0.500 0.000
Au1 0.000 0.000 0.000
Au2 0.750 0.250 0.500

Output
The density comes out at 7.2 g cm⁻³. The value obtained for the energy of formation from the pure elements is 1.1868 eV/atom. Its crystal system is tetragonal. The energy above the most stable polymorph in this dataset comes out at 0 meV/atom. The value obtained for the size of the total moment is 3.987 μB/f.u.

No. 18
The following is a DFT calculation (PBE-GGA) of a relaxed structure of ZrMnAl11.

Cell lengths 6.771, 6.771, 6.955 Å; angles 97.51, 97.51, 135.56 degrees
Fractional coordinates of all 13 atoms:
Zr1 0.000 0.000 0.000
Mn1 0.500 0.500 0.500
Al1 0.000 0.000 0.500
Al2 0.000 0.500 0.000
Al3 0.024 0.364 0.359
Al4 0.292 0.501 0.780
Al5 0.364 0.024 0.359
Al6 0.499 0.708 0.220
Al7 0.500 0.000 0.000
Al8 0.501 0.292 0.780
Al9 0.636 0.976 0.641
Al10 0.708 0.499 0.220
Al11 0.976 0.636 0.641

Output
The density comes out at 3.5 g cm⁻³. The value obtained for the energy of formation from the pure elements is -0.1066 eV/atom. Its crystal system is monoclinic. The value obtained for the size of the total moment is 0.001 μB/f.u.

No. 19
The following is a DFT calculation (PBE-GGA) of a relaxed structure of Tb15Nd2Y2.

Cell lengths 8.762, 8.762, 8.762 Å; angles 80.03, 80.03, 80.03 degrees
Fractional coordinates of all 19 atoms:
Tb1 0.000 0.000 0.500
Tb2 0.000 0.297 0.703
Tb3 0.000 0.500 0.000
Tb4 0.000 0.703 0.297
Tb5 0.150 0.631 0.631
Tb6 0.297 0.000 0.703
Tb7 0.297 0.703 0.000
Tb8 0.369 0.369 0.850
Tb9 0.369 0.850 0.369
Tb10 0.500 0.000 0.000
Tb11 0.631 0.150 0.631
Tb12 0.631 0.631 0.150
Tb13 0.703 0.000 0.297
Tb14 0.703 0.297 0.000
Tb15 0.850 0.369 0.369
Nd1 0.326 0.326 0.326
Nd2 0.674 0.674 0.674
Y1 0.097 0.097 0.097
Y2 0.903 0.903 0.903

Output
The density comes out at 7.3 g cm⁻³. The value obtained for the energy of formation from the pure elements is 0.2696 eV/atom. Its crystal system is trigonal. The value obtained for the size of the total moment is 0.913 μB/f.u.

No. 20
The following is a DFT calculation (PBE-GGA) of a relaxed structure of AcCe2N.

Cell lengths 10.167, 10.167, 10.167 Å; angles 20.23, 20.23, 20.23 degrees
Fractional coordinates of all 4 atoms:
Ac1 0.000 0.000 0.000
Ce1 0.121 0.121 0.121
Ce2 0.879 0.879 0.879
N1 0.500 0.500 0.500

Output
The density comes out at 7.9 g cm⁻³. For the uncorrected formation energy, the calculation gives -0.53 eV per atom. Its crystal system is trigonal. The energy above the most stable polymorph in this dataset comes out at 0 meV/atom. The value obtained for the size of the total moment is 1.898 μB/f.u.

No. 21
The following is a DFT calculation (PBE-GGA) of a relaxed structure of Li5Pd2Au12.

Cell lengths 8.085, 8.085, 8.404 Å; angles 104.61, 104.61, 40.02 degrees
Fractional coordinates of all 19 atoms:
Li1 0.000 0.000 0.000
Li2 0.285 0.285 0.093
Li3 0.371 0.371 0.628
Li4 0.629 0.629 0.372
Li5 0.715 0.715 0.907
Pd1 0.252 0.748 0.500
Pd2 0.748 0.252 0.500
Au1 0.047 0.552 0.376
Au2 0.089 0.089 0.790
Au3 0.111 0.608 0.891
Au4 0.392 0.889 0.109
Au5 0.448 0.953 0.624
Au6 0.466 0.466 0.188
Au7 0.534 0.534 0.812
Au8 0.552 0.047 0.376
Au9 0.608 0.111 0.891
Au10 0.889 0.392 0.109
Au11 0.911 0.911 0.210
Au12 0.953 0.448 0.624

Output
The density comes out at 12.7 g cm⁻³. The value obtained for the energy of formation from the pure elements is -0.1975 eV/atom. Its crystal system is monoclinic. The value obtained for the size of the total moment is 0.000 μB/f.u.